[1]
First-principles (PBE) data for crystalline ZnCdW2 at its relaxed geometry, as listed in the Alexandria database.

Summary:
SG: I-4m2, No. 119
Energy above the most stable polymorph in this dataset in eV per atom: 0.323
ΔE_f in eV/atom: 0.600
D(E_F) in states/eV/f.u.: 2.9
Size of the total moment in μB/cell: 0.00

```
data_ZnCdW2
_chemical_formula_sum 'Zn1 Cd1 W2'
_space_group_name_H-M_alt 'P 1'
_space_group_IT_number 1
_cell_length_a 4.8658
_cell_length_b 4.8658
_cell_length_c 4.8658
_cell_angle_alpha 129.96
_cell_angle_beta 129.96
_cell_angle_gamma 73.48
loop_
_space_group_symop_operation_xyz
'x,y,z'
loop_
_atom_site_label
_atom_site_fract_x
_atom_site_fract_y
_atom_site_fract_z
Cd1 0.7500 0.2500 0.5000
W1 0.0000 0.0000 0.0000
W2 0.2500 0.7500 0.5000
Zn1 0.5000 0.5000 0.0000
```


[2]
First-principles (PBE) data for crystalline ZnCdW2 at its relaxed geometry, as listed in the Alexandria database.

Summary:
SG: Pmmm, No. 47
Energy above the most stable polymorph in this dataset in eV per atom: 0.227
ΔE_f in eV/atom: 0.505
D(E_F) in states/eV/f.u.: 2.0
Size of the total moment in μB/cell: 0.00

```
data_ZnCdW2
_chemical_formula_sum 'Zn1 Cd1 W2'
_space_group_name_H-M_alt 'P 1'
_space_group_IT_number 1
_cell_length_a 3.2708
_cell_length_b 4.3600
_cell_length_c 4.6599
_cell_angle_alpha 90.00
_cell_angle_beta 90.00
_cell_angle_gamma 90.00
loop_
_space_group_symop_operation_xyz
'x,y,z'
loop_
_atom_site_label
_atom_site_fract_x
_atom_site_fract_y
_atom_site_fract_z
Cd1 0.0000 0.5000 0.5000
W1 0.0000 0.0000 0.0000
W2 0.5000 0.5000 0.0000
Zn1 0.5000 0.0000 0.5000
```


[3]
First-principles (PBE) data for crystalline ZnCdW2 at its relaxed geometry, as listed in the Alexandria database.

Summary:
SG: Pm, No. 6
Energy above the most stable polymorph in this dataset in eV per atom: 0.116
ΔE_f in eV/atom: 0.393
D(E_F) in states/eV/f.u.: 1.3
Size of the total moment in μB/cell: 0.00

```
data_ZnCdW2
_chemical_formula_sum 'Zn1 Cd1 W2'
_space_group_name_H-M_alt 'P 1'
_space_group_IT_number 1
_cell_length_a 4.4292
_cell_length_b 2.7836
_cell_length_c 5.5027
_cell_angle_alpha 81.22
_cell_angle_beta 90.00
_cell_angle_gamma 90.00
loop_
_space_group_symop_operation_xyz
'x,y,z'
loop_
_atom_site_label
_atom_site_fract_x
_atom_site_fract_y
_atom_site_fract_z
Cd1 0.5000 0.6269 0.7441
W1 0.0000 0.0286 0.0187
W2 0.5000 0.2311 0.2491
Zn1 0.0000 0.6134 0.4881
```


> What is the energy above the most stable polymorph in this dataset in the second record?

0.227 eV per atom